Run 1
# W2Se3, optimized geometry, DFT PBE
# theoretical density = 9.6 Mg/m³
# Fermi-level density of states = 2.86 states/eV/cell
# total moment = 0.00 μB per formula unit
# space group = Fdd2 (43)
data_W2Se3
_chemical_formula_sum 'W4 Se6'
_symmetry_space_group_name_H-M 'P 1'
_symmetry_Int_Tables_number 1
_symmetry_space_group_name_Hall 'P 1'
_cell_length_a 6.4948
_cell_length_b 6.4440
_cell_length_c 7.4357
_cell_angle_alpha 55.24
_cell_angle_beta 54.60
_cell_angle_gamma 70.15
loop_
_atom_site_label
_atom_site_fract_x
_atom_site_fract_y
_atom_site_fract_z
_atom_site_occupancy
W1 0.0731 0.9269 0.1535 1
W2 0.0965 0.4035 0.1769 1
W3 0.4035 0.0965 0.3231 1
W4 0.9269 0.0731 0.8465 1
Se1 0.2084 0.4483 0.4359 1
Se2 0.3426 0.8141 0.8017 1
Se3 0.4483 0.2084 0.9074 1
Se4 0.6901 0.6901 0.3099 1
Se5 0.8141 0.3426 0.0416 1
Se6 0.9401 0.9401 0.5599 1

---

Run 2
# W2Se3, optimized geometry, DFT PBE
# theoretical density = 8.7 Mg/m³
# Fermi-level density of states = 4.53 states/eV/cell
# total moment = 0.00 μB per formula unit
# space group = P-3m1 (164)
data_W2Se3
_chemical_formula_sum 'W2 Se3'
_symmetry_space_group_name_H-M 'P 1'
_symmetry_Int_Tables_number 1
_symmetry_space_group_name_Hall 'P 1'
_cell_length_a 4.3561
_cell_length_b 4.3561
_cell_length_c 6.9862
_cell_angle_alpha 90.00
_cell_angle_beta 90.00
_cell_angle_gamma 120.00
loop_
_atom_site_label
_atom_site_fract_x
_atom_site_fract_y
_atom_site_fract_z
_atom_site_occupancy
W1 0.3333 0.6667 0.4049 1
W2 0.6667 0.3333 0.5951 1
Se1 0.0000 0.0000 0.5000 1
Se2 0.3333 0.6667 0.7721 1
Se3 0.6667 0.3333 0.2279 1

---

Of them, run 2 has the lowest stability.